No. 1
SmAl2AgAu4, optimized geometry, DFT PBE; SG = R-3m, No. 166
1.0
-1.001 2.602 3.502
-2.613 -1.567 3.279
6.100 -2.712 6.620
Au Sm Al Ag
4 1 2 1
direct
0.123 0.123 0.631
0.877 0.877 0.369
0.395 0.395 0.816
0.605 0.605 0.184
0.000 0.000 0.000
0.760 0.760 0.720
0.240 0.240 0.280
0.500 0.500 0.500

***

No. 2
K6Mn3Cl14, optimized geometry, DFT PBE; SG = P3, No. 143; formation energy from raw total energies = -1439 meV/atom
1.0
-4.270 2.204 -4.202
8.097 0.671 -7.877
-6.021 -9.514 1.129
Mn Cl K
3 14 6
direct
0.317 0.333 0.667
0.502 0.667 0.333
0.845 0.000 0.000
0.446 0.558 0.808
0.446 0.192 0.751
0.948 0.333 0.667
0.288 0.601 0.467
0.958 0.795 0.862
0.714 0.739 0.204
0.714 0.465 0.261
0.446 0.249 0.442
0.714 0.796 0.535
0.508 0.000 0.000
0.958 0.138 0.933
0.958 0.067 0.205
0.288 0.866 0.399
0.288 0.533 0.134
0.268 0.309 0.217
0.734 0.527 0.566
0.268 0.783 0.092
0.734 0.039 0.473
0.734 0.434 0.961
0.268 0.908 0.691

***

No. 3
CaPm5N6, optimized geometry, DFT PBE; SG = C2/m, No. 12; formation energy from raw total energies = -1276 meV/atom
1.0
-1.370 -5.915 1.428
4.875 -2.624 2.892
0.470 0.297 6.223
N Pm Ca
6 5 1
direct
0.747 0.084 0.343
0.256 0.258 0.000
0.744 0.742 0.000
0.253 0.916 0.657
0.253 0.573 0.343
0.747 0.427 0.657
0.500 0.834 0.331
0.000 0.333 0.334
0.000 0.667 0.666
0.500 0.500 0.000
0.500 0.166 0.669
0.000 0.000 0.000

***

No. 4
LiLaZrIr, optimized geometry, DFT PBE; SG = F-43m, No. 216
1.0
4.921 0.000 0.000
2.460 4.261 0.000
2.460 1.420 4.018
La Li Ir Zr
1 1 1 1
direct
0.750 0.750 0.750
0.000 0.000 0.000
0.500 0.500 0.500
0.250 0.250 0.250

***

No. 5
Ti6NiSn, optimized geometry, DFT PBE; SG = C2/m, No. 12
1.0
5.967 0.506 -0.813
-1.750 5.727 -0.813
-1.677 -2.479 4.566
Ni Ti Sn
1 6 1
direct
0.500 0.500 0.500
0.724 0.275 0.749
0.725 0.276 0.251
0.275 0.724 0.749
0.748 0.748 0.248
0.276 0.725 0.251
0.252 0.252 0.752
0.000 0.000 0.000

***

No. 6
Rb2Cd2PbSe4, optimized geometry, DFT PBE; SG = C2/m, No. 12; formation energy from raw total energies = -822 meV/atom
1.0
-0.259 1.614 4.129
-5.986 -5.471 1.763
7.592 -4.195 -0.271
Se Cd Rb Pb
4 2 2 1
direct
0.207 0.184 0.414
0.519 0.751 0.038
0.481 0.249 0.962
0.793 0.816 0.586
0.330 0.020 0.661
0.670 0.980 0.339
0.875 0.457 0.751
0.125 0.543 0.249
0.000 0.000 0.000

***

No. 7
K2Ca2Ag, optimized geometry, DFT PBE; SG = P4/mbm, No. 127; polymorph energy (0 for the lowest one) = 0.2155 eV per atom
1.0
8.298 0.000 0.000
0.000 8.298 0.000
0.000 0.000 6.520
Ca K Ag
4 4 2
direct
0.321 0.179 0.500
0.821 0.321 0.500
0.179 0.679 0.500
0.679 0.821 0.500
0.354 0.854 0.000
0.854 0.646 0.000
0.146 0.354 0.000
0.646 0.146 0.000
0.500 0.500 0.000
0.000 0.000 0.000

***

No. 8
Ho4CoSb, optimized geometry, DFT PBE; SG = C2/c, No. 15; polymorph energy (0 for the lowest one) = 0.1023 eV per atom; formation energy from raw total energies = -370 meV/atom
1.0
5.933 0.000 0.000
0.000 7.379 0.310
-2.967 -2.573 7.166
Sb Ho Co
2 8 2
direct
0.130 0.750 0.000
0.870 0.250 0.000
0.707 0.951 0.168
0.462 0.451 0.168
0.920 0.352 0.632
0.712 0.852 0.632
0.293 0.049 0.832
0.080 0.648 0.368
0.538 0.549 0.832
0.288 0.148 0.368
0.000 0.000 0.500
0.500 0.500 0.500

***

No. 9
Nd5Ho7, optimized geometry, DFT PBE; SG = C2/m, No. 12; polymorph energy (0 for the lowest one) = 0.0000 eV per atom
1.0
0.039 -3.557 -0.614
8.905 -1.195 -3.130
6.566 -3.427 9.657
Ho Nd
7 5
direct
0.028 0.695 0.249
0.334 0.335 0.997
0.363 0.026 0.248
0.972 0.305 0.751
0.500 0.500 0.500
0.637 0.974 0.752
0.666 0.665 0.003
0.695 0.361 0.249
0.165 0.167 0.502
0.000 0.000 0.000
0.835 0.833 0.498
0.305 0.639 0.751

***

No. 10
LiCu2Pb, optimized geometry, DFT PBE; SG = I-42d, No. 122
1.0
-0.705 -2.472 2.895
0.066 -2.952 -2.504
8.948 -3.701 1.608
Cu Pb Li
4 2 2
direct
0.375 0.397 0.750
0.603 0.125 0.250
0.875 0.853 0.750
0.147 0.625 0.250
0.750 0.250 0.500
0.000 0.000 0.000
0.500 0.500 0.000
0.250 0.750 0.500

***

No. 11
Li2CdCl, optimized geometry, DFT PBE; SG = Imm2, No. 44; polymorph energy (0 for the lowest one) = 0.0448 eV per atom; formation energy from raw total energies = -828 meV/atom
1.0
-5.526 -0.284 6.035
-2.802 -0.415 7.682
-0.303 3.153 0.751
Li Cd Cl
2 1 1
direct
0.079 0.079 0.920
0.272 0.272 0.229
0.448 0.448 0.552
0.702 0.702 0.799

***

no.,uncorrected energy (eV/atom)
1,-3.97
2,-4.05
3,-7.58
4,-6.33
5,-7.13
6,-3.20
7,-1.49
8,-5.29
9,-4.65
10,-3.20
11,-2.47